DFT (PBE with a Hubbard U) results for a relaxed ZnWO2 crystal.

Energy = -23.27 eV per formula unit

Cell lengths 3.2669, 8.1388, 9.6940 Å; angles 65.74, 89.81, 90.86 degrees
Last column: magnetic moment on the atom in μB.
Sites, in units of the cell vectors:
Zn1 0.2545 0.8215 0.7087  0.02
Zn2 0.7455 0.1785 0.2913  0.02
Zn3 0.7657 0.0881 0.6509  0.02
W1 0.7477 0.5537 0.6284  2.68
O1 0.7459 0.3523 0.5364  0.02
O2 0.2378 0.9173 0.1218  0.02
O3 0.7365 0.2560 0.0632  0.01
O4 0.7622 0.0827 0.8782  0.02
Zn4 0.2343 0.9119 0.3491  0.02
W2 0.2523 0.4463 0.3716  2.68
O5 0.7592 0.5744 0.2238  0.03
O6 0.2541 0.6477 0.4636  0.02
O7 0.2635 0.7440 0.9368  0.01
O8 0.2408 0.4256 0.7762  0.03
W3 0.2584 0.1937 0.9630  1.95
W4 0.7416 0.8063 0.0370  1.95